Compound: Na4In3MoO8
Source: the Alexandria database
Functional: PBE+U
Structure: relaxed

abc: 6.5641 6.6865 6.5641
angles: 119.40 120.00 90.00
Site moments in Bohr magnetons follow the coordinates.
Positions (direct):
Na 0.5000 0.0000 0.0000  0.00
Na 0.5000 0.0000 0.5000  0.00
Na 0.0000 0.0000 0.0000  0.00
Na 0.0000 0.0000 0.5000  0.00
In 0.5000 0.5000 0.0000  0.02
In 0.5000 0.5000 0.5000  0.02
In 0.0000 0.5000 0.5000  0.02
Mo 0.0000 0.5000 0.0000  2.73
O 0.2352 0.7116 0.9765  0.00
O 0.2352 0.7116 0.4704  0.00
O 0.2616 0.2849 0.5232  0.02
O 0.7413 0.7116 0.9765  0.00
O 0.2587 0.2884 0.0235  0.00
O 0.7384 0.7151 0.4768  0.02
O 0.7648 0.2884 0.5296  0.00
O 0.7648 0.2884 0.0235  0.00

Output
The value obtained for the calculated total energy is -5.42 eV/atom. The calculation puts the volume at 206 Å³/cell. The value obtained for the magnetization is 3.0 μB per formula unit.